Record 1
# TbSm6Y2Tm3

A relaxed structure of TbSm6Y2Tm3 (PBE-GGA, Alexandria).

Properties
ΔH_f (0 K) ... 1.5 kJ per mole of atoms

Unit cell a=6.2087 b=6.2087 c=11.7761 alpha=95.02 beta=95.02 gamma=119.98
Last column: nearest neighbours and their distance in Å.
Positions (direct):
1 Tb 0.0000 0.0000 0.0000  6 Sm 3.58, 6 Y 3.58-3.59
2 Sm 0.0845 0.4171 0.2525  3 Tm 3.54, 6 Sm 3.58-3.59, 1 Tb 3.58, 2 Y 3.58-3.59
3 Sm 0.2482 0.2482 0.7476  3 Tm 3.54, 6 Sm 3.58-3.59, 1 Tb 3.58, 2 Y 3.59
4 Sm 0.4171 0.0845 0.2525  3 Tm 3.54, 6 Sm 3.58-3.59, 1 Tb 3.58, 2 Y 3.58-3.59
5 Sm 0.5829 0.9155 0.7475  3 Tm 3.54, 6 Sm 3.58-3.59, 1 Tb 3.58, 2 Y 3.58-3.59
6 Sm 0.7518 0.7518 0.2524  3 Tm 3.54, 6 Sm 3.58-3.59, 1 Tb 3.58, 2 Y 3.59
7 Sm 0.9155 0.5829 0.7475  3 Tm 3.54, 6 Sm 3.58-3.59, 1 Tb 3.58, 2 Y 3.58-3.59
8 Y 0.3334 0.6666 0.0000  3 Y 3.58-3.59, 6 Sm 3.58-3.59, 3 Tb 3.58-3.59
9 Y 0.6666 0.3334 0.0000  3 Y 3.58-3.59, 6 Sm 3.58-3.59, 3 Tb 3.58-3.59
10 Tm 0.1667 0.8333 0.5000  6 Sm 3.54, 6 Tm 3.58-3.59
11 Tm 0.5000 0.5000 0.5000  6 Sm 3.54, 6 Tm 3.58-3.59
12 Tm 0.8333 0.1667 0.5000  6 Sm 3.54, 6 Tm 3.58-3.59

Record 2
# TbSmY2Tm2

A relaxed structure of TbSmY2Tm2 (PBE-GGA, Alexandria).

Properties
ΔH_f (0 K) ... 10.5 kJ per mole of atoms

Unit cell a=6.0720 b=18.1066 c=3.5146 alpha=90.00 beta=90.00 gamma=90.00
Last column: nearest neighbours and their distance in Å.
Positions (direct):
1 Tb 0.0000 0.0000 0.0000  2 Tm 3.46, 4 Sm 3.51, 2 Tb 3.51, 4 Y 3.55
2 Tb 0.5000 0.5000 0.5000  2 Tm 3.46, 4 Sm 3.51, 2 Tb 3.51, 4 Y 3.55
3 Sm 0.0000 0.5000 0.0000  4 Tm 3.46, 4 Tb 3.51, 2 Sm 3.51, 2 Y 3.54
4 Sm 0.5000 0.0000 0.5000  4 Tm 3.46, 4 Tb 3.51, 2 Sm 3.51, 2 Y 3.54
5 Y 0.1666 0.1606 0.5000  5 Tm 3.34-3.51, 2 Y 3.51, 1 Sm 3.54, 2 Tb 3.55
6 Y 0.3334 0.6606 0.0000  5 Tm 3.34-3.51, 2 Y 3.51, 1 Sm 3.54, 2 Tb 3.55
7 Y 0.6666 0.3394 0.0000  5 Tm 3.34-3.51, 2 Y 3.51, 1 Sm 3.54, 2 Tb 3.55
8 Y 0.8334 0.8394 0.5000  5 Tm 3.34-3.51, 2 Y 3.51, 1 Sm 3.54, 2 Tb 3.55
9 Tm 0.1670 0.3450 0.5000  5 Y 3.34-3.51, 1 Tb 3.46, 2 Sm 3.46, 2 Tm 3.51
10 Tm 0.3330 0.8450 0.0000  5 Y 3.34-3.51, 1 Tb 3.46, 2 Sm 3.46, 2 Tm 3.51
11 Tm 0.6670 0.1550 0.0000  5 Y 3.34-3.51, 1 Tb 3.46, 2 Sm 3.46, 2 Tm 3.51
12 Tm 0.8330 0.6550 0.5000  5 Y 3.34-3.51, 1 Tb 3.46, 2 Sm 3.46, 2 Tm 3.51